Density functional theory data (PBE) for a geometry-optimized Cu3TcS structure.

abc: 4.256 4.256 4.256
angles: 90.00 90.00 90.00
Fractional positions:
Tc: 0.500 0.500 0.500
S: 0.000 0.000 0.000
Cu: 0.500 0.000 0.000
Cu: 0.000 0.500 0.000
Cu: 0.000 0.000 0.500

Computed properties:
Formation energy (no corrections) = 829 meV per atom
Total moment = 2.2 μB/f.u.
Fermi-level density of states = 3.51 states/eV per cell
Final energy = -22.63 eV per cell

Density functional theory data (PBE) for a geometry-optimized CuTc3S structure.

abc: 4.316 4.316 4.316
angles: 90.00 90.00 90.00
Fractional positions:
Tc: 0.500 0.000 0.000
Tc: 0.000 0.000 0.500
Tc: 0.000 0.500 0.000
Cu: 0.500 0.500 0.500
S: 0.000 0.000 0.000

Computed properties:
Formation energy (no corrections) = 643 meV per atom
Total moment = 0.0 μB/f.u.
Fermi-level density of states = 2.84 states/eV per cell
Final energy = -36.11 eV per cell

Density functional theory data (PBE) for a geometry-optimized CuTcS structure.

abc: 3.211 3.226 11.352
angles: 124.33 89.95 90.00
Fractional positions:
Tc: 0.250 0.389 0.570
Tc: 0.750 0.611 0.430
S: 0.249 0.884 0.819
S: 0.751 0.116 0.181
Cu: 0.749 0.227 0.740
Cu: 0.251 0.773 0.260

Computed properties:
Formation energy (no corrections) = -7 meV per atom
Total moment = 0.0 μB/f.u.
Fermi-level density of states = 5.55 states/eV per cell
Final energy = -37.22 eV per cell

Density functional theory data (PBE) for a geometry-optimized CuTcS3 structure.

abc: 4.612 4.612 4.612
angles: 90.00 90.00 90.00
Fractional positions:
S: 0.500 0.000 0.000
S: 0.000 0.500 0.000
S: 0.000 0.000 0.500
Tc: 0.000 0.000 0.000
Cu: 0.500 0.500 0.500

Computed properties:
Formation energy (no corrections) = 551 meV per atom
Total moment = 0.0 μB/f.u.
Fermi-level density of states = 5.37 states/eV per cell
Final energy = -24.09 eV per cell

Density functional theory data (PBE) for a geometry-optimized CuTc2S structure.

abc: 4.947 4.947 6.942
angles: 69.13 69.13 90.00
Fractional positions:
Tc: 0.875 0.841 0.750
Tc: 0.159 0.625 0.250
Tc: 0.591 0.125 0.250
Tc: 0.375 0.409 0.750
S: 0.250 0.750 0.500
S: 0.500 0.500 0.000
Cu: 0.750 0.250 0.500
Cu: 0.000 0.000 0.000

Computed properties:
Formation energy (no corrections) = 861 meV per atom
Total moment = 1.0 μB/f.u.
Fermi-level density of states = 7.27 states/eV per cell
Final energy = -51.02 eV per cell

Density functional theory data (PBE) for a geometry-optimized CuTcS structure.

abc: 5.164 2.972 6.178
angles: 90.00 106.54 90.00
Fractional positions:
S: 0.089 0.000 0.197
S: 0.594 0.500 0.212
Tc: 0.660 0.000 0.951
Tc: 0.179 0.500 0.944
Cu: 0.232 0.000 0.583
Cu: 0.710 0.500 0.594

Computed properties:
Formation energy (no corrections) = -74 meV per atom
Total moment = 0.0 μB/f.u.
Fermi-level density of states = 3.71 states/eV per cell
Final energy = -37.62 eV per cell

Density functional theory data (PBE) for a geometry-optimized Cu8TeS4 structure.

abc: 3.763 8.001 8.466
angles: 88.23 77.16 76.40
Fractional positions:
Cu: 0.535 0.210 0.720
Cu: 0.146 0.979 0.728
Cu: 0.790 0.719 0.701
Cu: 0.791 0.489 0.928
Cu: 0.540 0.583 0.337
Cu: 0.182 0.335 0.301
Cu: 0.759 0.984 0.497
Cu: 0.168 0.740 0.925
S: 0.932 0.709 0.428
S: 0.739 0.360 0.163
S: 0.162 0.160 0.515
S: 0.365 0.495 0.774
Te: 0.535 0.969 0.961

Computed properties:
Formation energy (no corrections) = -94 meV per atom
Total moment = 0.0 μB/f.u.
Fermi-level density of states = 6.78 states/eV per cell
Final energy = -53.64 eV per cell

Density functional theory data (PBE) for a geometry-optimized Cu5Te3S12 structure.

abc: 12.721 12.721 12.721
angles: 109.47 109.47 109.47
Fractional positions:
S: 0.907 0.083 0.877
S: 0.377 0.407 0.083
S: 0.417 0.294 0.324
S: 0.407 0.377 0.583
S: 0.470 0.676 0.093
S: 0.583 0.706 0.676
S: 0.030 0.407 0.824
S: 0.583 0.877 0.407
S: 0.176 0.093 0.970
S: 0.676 0.206 0.583
S: 0.530 0.206 0.123
S: 0.970 0.377 0.294
S: 0.794 0.324 0.917
S: 0.377 0.970 0.794
S: 0.083 0.907 0.377
S: 0.083 0.176 0.206
S: 0.324 0.530 0.407
S: 0.676 0.470 0.593
S: 0.407 0.030 0.324
S: 0.294 0.877 0.970
S: 0.324 0.794 0.417
S: 0.093 0.176 0.470
S: 0.824 0.907 0.030
S: 0.623 0.593 0.917
S: 0.176 0.083 0.706
S: 0.706 0.583 0.176
S: 0.470 0.794 0.877
S: 0.706 0.123 0.030
S: 0.206 0.676 0.083
S: 0.877 0.583 0.907
S: 0.907 0.824 0.530
S: 0.917 0.824 0.794
S: 0.593 0.623 0.417
S: 0.530 0.324 0.907
S: 0.417 0.123 0.593
S: 0.917 0.093 0.623
S: 0.824 0.917 0.294
S: 0.123 0.706 0.530
S: 0.970 0.593 0.176
S: 0.794 0.470 0.377
S: 0.877 0.294 0.470
S: 0.623 0.030 0.206
S: 0.030 0.623 0.706
S: 0.593 0.970 0.676
S: 0.294 0.417 0.824
S: 0.093 0.917 0.123
S: 0.206 0.530 0.623
S: 0.123 0.417 0.093
Cu: 0.000 0.000 0.500
Cu: 0.750 0.625 0.375
Cu: 0.375 0.125 0.750
Cu: 0.500 0.000 0.000
Cu: 0.250 0.875 0.125
Cu: 0.375 0.250 0.125
Cu: 0.250 0.375 0.625
Cu: 0.875 0.250 0.625
Cu: 0.125 0.375 0.250
Cu: 0.625 0.875 0.250
Cu: 0.750 0.125 0.875
Cu: 0.500 0.500 0.500
Cu: 0.500 0.000 0.500
Cu: 0.875 0.625 0.750
Cu: 0.000 0.500 0.000
Cu: 0.625 0.750 0.875
Cu: 0.125 0.750 0.375
Cu: 0.000 0.000 0.000
Cu: 0.000 0.500 0.500
Cu: 0.500 0.500 0.000
Te: 0.375 0.750 0.625
Te: 0.875 0.125 0.250
Te: 0.875 0.750 0.125
Te: 0.125 0.875 0.750
Te: 0.125 0.250 0.875
Te: 0.750 0.875 0.625
Te: 0.625 0.375 0.750
Te: 0.750 0.375 0.125
Te: 0.250 0.125 0.375
Te: 0.375 0.625 0.250
Te: 0.625 0.250 0.375
Te: 0.250 0.625 0.875

Computed properties:
Formation energy (no corrections) = 132 meV per atom
Total moment = 0.0 μB/f.u.
Fermi-level density of states = 51.52 states/eV per cell
Final energy = -307.15 eV per cell

Density functional theory data (PBE) for a geometry-optimized CuTe3S structure.

abc: 5.213 5.213 5.213
angles: 90.00 90.00 90.00
Fractional positions:
Te: 0.000 0.500 0.000
Te: 0.000 0.000 0.500
Te: 0.500 0.000 0.000
Cu: 0.500 0.500 0.500
S: 0.000 0.000 0.000

Computed properties:
Formation energy (no corrections) = 780 meV per atom
Total moment = 0.0 μB/f.u.
Fermi-level density of states = 3.64 states/eV per cell
Final energy = -13.75 eV per cell

Density functional theory data (PBE) for a geometry-optimized CuTe2S structure.

abc: 9.309 9.309 9.309
angles: 21.84 21.84 21.84
Fractional positions:
Te: 0.908 0.908 0.908
Te: 0.092 0.092 0.092
S: 0.500 0.500 0.500
Cu: 0.000 0.000 0.000

Computed properties:
Formation energy (no corrections) = 524 meV per atom
Total moment = 0.0 μB/f.u.
Fermi-level density of states = 1.73 states/eV per cell
Final energy = -12.41 eV per cell

Density functional theory data (PBE) for a geometry-optimized Cu3TeS4 structure.

abc: 6.452 6.572 7.642
angles: 90.00 90.00 90.00
Fractional positions:
Cu: 0.496 0.825 0.000
Cu: 0.499 0.330 0.250
Cu: 0.499 0.330 0.750
Cu: 0.996 0.175 0.500
Cu: 0.999 0.670 0.250
Cu: 0.999 0.670 0.750
S: 0.147 0.352 0.274
S: 0.147 0.352 0.726
S: 0.647 0.648 0.774
S: 0.583 0.160 0.000
S: 0.143 0.804 0.000
S: 0.083 0.840 0.500
S: 0.643 0.196 0.500
S: 0.647 0.648 0.226
Te: 0.501 0.831 0.500
Te: 0.001 0.169 0.000

Computed properties:
Formation energy (no corrections) = -95 meV per atom
Total moment = 0.0 μB/f.u.
Fermi-level density of states = 11.55 states/eV per cell
Final energy = -65.40 eV per cell

Density functional theory data (PBE) for a geometry-optimized Cu12Te3S5 structure.

abc: 12.320 12.320 12.320
angles: 109.47 109.47 109.47
Fractional positions:
Cu: 0.877 0.591 0.919
Cu: 0.919 0.091 0.877
Cu: 0.958 0.377 0.286
Cu: 0.286 0.409 0.828
Cu: 0.581 0.623 0.409
Cu: 0.458 0.672 0.081
Cu: 0.828 0.909 0.286
Cu: 0.919 0.828 0.542
Cu: 0.091 0.919 0.377
Cu: 0.623 0.042 0.214
Cu: 0.786 0.458 0.377
Cu: 0.958 0.581 0.172
Cu: 0.286 0.877 0.958
Cu: 0.409 0.123 0.581
Cu: 0.458 0.786 0.877
Cu: 0.328 0.786 0.409
Cu: 0.672 0.214 0.591
Cu: 0.123 0.409 0.081
Cu: 0.623 0.581 0.909
Cu: 0.909 0.828 0.786
Cu: 0.377 0.958 0.786
Cu: 0.591 0.877 0.419
Cu: 0.172 0.081 0.958
Cu: 0.042 0.623 0.714
Cu: 0.828 0.919 0.042
Cu: 0.172 0.091 0.714
Cu: 0.909 0.081 0.623
Cu: 0.542 0.328 0.919
Cu: 0.714 0.591 0.172
Cu: 0.377 0.419 0.091
Cu: 0.091 0.172 0.214
Cu: 0.081 0.172 0.458
Cu: 0.714 0.123 0.042
Cu: 0.786 0.328 0.909
Cu: 0.328 0.542 0.419
Cu: 0.672 0.458 0.581
Cu: 0.214 0.542 0.623
Cu: 0.042 0.419 0.828
Cu: 0.214 0.672 0.091
Cu: 0.581 0.958 0.672
Cu: 0.591 0.714 0.672
Cu: 0.081 0.909 0.123
Cu: 0.419 0.377 0.591
Cu: 0.419 0.042 0.328
Cu: 0.877 0.286 0.458
Cu: 0.123 0.714 0.542
Cu: 0.409 0.286 0.328
Cu: 0.542 0.214 0.123
S: 0.375 0.250 0.125
S: 0.250 0.875 0.125
S: 0.000 0.500 0.500
S: 0.500 0.500 0.000
S: 0.500 0.000 0.000
S: 0.750 0.125 0.875
S: 0.625 0.750 0.875
S: 0.000 0.000 0.000
S: 0.125 0.750 0.375
S: 0.750 0.625 0.375
S: 0.000 0.000 0.500
S: 0.250 0.375 0.625
S: 0.625 0.875 0.250
S: 0.875 0.625 0.750
S: 0.125 0.375 0.250
S: 0.375 0.125 0.750
S: 0.500 0.000 0.500
S: 0.875 0.250 0.625
S: 0.000 0.500 0.000
S: 0.500 0.500 0.500
Te: 0.875 0.125 0.250
Te: 0.375 0.750 0.625
Te: 0.125 0.250 0.875
Te: 0.125 0.875 0.750
Te: 0.250 0.125 0.375
Te: 0.250 0.625 0.875
Te: 0.750 0.375 0.125
Te: 0.875 0.750 0.125
Te: 0.375 0.625 0.250
Te: 0.625 0.250 0.375
Te: 0.750 0.875 0.625
Te: 0.625 0.375 0.750

Computed properties:
Formation energy (no corrections) = -72 meV per atom
Total moment = 0.0 μB/f.u.
Fermi-level density of states = 40.33 states/eV per cell
Final energy = -322.61 eV per cell

Question: Among the records above, which one has the highest total moment?
Answer: Cu3TcS

Question: Look up the Fermi-level density of states of the second one.
Answer: 2.84 states/eV per cell

Question: Which formula does entry 10 have?
Answer: CuTe2S